Entry 1:
La12Os5Pb | PBE | optimized geometry

For the formation energy, the calculation gives -0.20 eV per atom. Its theoretical density is 8.91 g cm⁻³.

The structure belongs to space group Immm (No. 71); the cell edges are 9.703, 9.876 and 10.985 Å and the angles 90.00°, 90.00° and 90.00°. The asymmetric unit holds La at (0.000, 0.189, 0.217), La at (0.184, 0.500, 0.166), La at (0.206, 0.326, 0.500), Os at (0.000, 0.000, 0.000), Os at (0.000, 0.329, 0.000), Os at (0.000, 0.500, 0.365) and Pb at (0.000, 0.000, 0.500).

=====

Entry 2:
CsNaSr2Rh | PBE | optimized geometry

For the formation energy, the calculation gives 0.05 eV per atom. Its theoretical density is 3.29 g cm⁻³. For the energy above the most stable polymorph in this dataset, the calculation gives 0.0000 eV/atom.

The structure belongs to space group P4/mmm (No. 123); the cell edges are 5.885, 5.885 and 6.324 Å and the angles 90.00°, 90.00° and 90.00°. The asymmetric unit holds Cs at (0.000, 0.000, 0.000), Na at (0.500, 0.500, 0.000), Sr at (0.000, 0.500, 0.500) and Rh at (0.500, 0.500, 0.500).

=====

Entry 3:
Pm5Dy3Tm4 | PBE | optimized geometry

For the formation energy, the calculation gives 0.25 eV per atom. Its theoretical density is 8.02 g cm⁻³.

The structure belongs to space group C2/m (No. 12); the cell edges are 12.458, 5.728 and 11.031 Å and the angles 90.00°, 96.54° and 90.00°. The asymmetric unit holds Pm at (0.000, 0.000, 0.000), Pm at (0.101, 0.500, 0.590), Pm at (0.145, 0.500, 0.271), Dy at (0.000, 0.500, 0.000), Dy at (0.244, 0.500, 0.889), Tm at (0.077, 0.000, 0.755) and Tm at (0.146, 0.000, 0.454).

=====

Entry 4:
MgTePd | PBE | optimized geometry

The formation energy from raw total energies is -1.53 eV per formula unit. Its theoretical density is 6.64 g cm⁻³.

The structure belongs to space group Pm (No. 6); the cell edges are 3.845, 4.077 and 8.237 Å and the angles 90.00°, 90.21° and 90.00°. The asymmetric unit holds Mg at (0.000, 0.000, 0.000), Mg at (0.005, 0.000, 0.579), Te at (0.004, 0.500, 0.299), Te at (0.505, 0.500, 0.731), Pd at (0.501, 0.500, 0.049) and Pd at (0.505, 0.000, 0.299).

=====

Entry 5:
Ba3ScAs3 | PBE | optimized geometry

For the formation energy, the calculation gives -1.18 eV per atom. Its theoretical density is 4.50 g cm⁻³.

The structure belongs to space group P2_1/c (No. 14); the cell edges are 9.413, 8.202 and 13.123 Å and the angles 90.00°, 96.25° and 90.00°. The asymmetric unit holds Ba at (0.081, 0.163, 0.130), Ba at (0.320, 0.729, 0.790), Ba at (0.397, 0.232, 0.924), Sc at (0.166, 0.587, 0.050), As at (0.085, 0.058, 0.372), As at (0.257, 0.616, 0.515) and As at (0.369, 0.076, 0.661).

=====

Entry 6:
CdTc2Pb | PBE | optimized geometry

For the formation energy, the calculation gives 0.22 eV per atom. Its theoretical density is 10.59 g cm⁻³. For the energy above the most stable polymorph in this dataset, the calculation gives 0.0154 eV/atom.

The structure belongs to space group P4mm (No. 99); the cell edges are 3.074, 3.074 and 8.559 Å and the angles 90.00°, 90.00° and 90.00°. The asymmetric unit holds Cd at (0.000, 0.000, 0.000), Tc at (0.000, 0.000, 0.607), Tc at (0.500, 0.500, 0.765) and Pb at (0.500, 0.500, 0.345).

=====

Entry 7:
ZrZnGaHg | PBE | optimized geometry

For the formation energy, the calculation gives -0.31 eV per atom. Its theoretical density is 9.52 g cm⁻³.

The structure belongs to space group Pmmm (No. 47); the cell edges are 4.058, 4.179 and 4.393 Å and the angles 90.00°, 90.00° and 90.00°. The asymmetric unit holds Zr at (0.000, 0.000, 0.000), Zn at (0.500, 0.000, 0.500), Ga at (0.500, 0.500, 0.000) and Hg at (0.000, 0.500, 0.500).

=====

Entry 8:
Al4GaRh | PBE | optimized geometry

For the formation energy, the calculation gives -0.41 eV per atom. Its theoretical density is 4.39 g cm⁻³. For the energy above the most stable polymorph in this dataset, the calculation gives 0.0000 eV/atom.

The structure belongs to space group Fddd (No. 70, origin choice 2); the cell edges are 8.448, 8.514 and 11.813 Å and the angles 90.00°, 90.00° and 90.00°. The asymmetric unit holds Al at (0.117, 0.366, 0.249), Ga at (0.125, 0.125, 0.625) and Rh at (0.125, 0.125, 0.125).